Entry 1:
Below is a relaxed structure of Tl2TcBAu, with properties calculated at the PBE-GGA level.

Unit cell a=5.366 b=5.304 c=5.366 alpha=90.00 beta=90.00 gamma=90.00
Last column: magnetic moment on the atom in μB.
Atoms (fractional coordinates):
Au (0.000, 0.000, 0.000)  0.08
Tc (0.000, 0.500, 0.000)  3.36
Tl (0.000, 0.000, 0.500)  -0.01
B (0.500, 0.500, 0.500)  -0.23
Tl (0.500, 0.000, 0.000)  -0.01

## Properties
- DFT formation energy (eV/atom) = 1.860
- total magnetic moment (Bohr magnetons per cell) = 3.26
- space group = No. 123

Entry 2:
Below is a relaxed structure of AcTlTeO4, with properties calculated at the PBE-GGA level.

Unit cell a=6.186 b=6.101 c=8.595 alpha=90.00 beta=115.89 gamma=90.00
Atoms (fractional coordinates):
O (0.351, 0.750, 0.467)
Ac (0.242, 0.250, 0.538)
O (0.601, 0.250, 0.825)
Te (0.106, 0.750, 0.227)
O (0.047, 0.007, 0.695)
O (0.953, 0.993, 0.305)
O (0.953, 0.507, 0.305)
Tl (0.582, 0.250, 0.115)
O (0.649, 0.250, 0.533)
O (0.047, 0.493, 0.695)
O (0.399, 0.750, 0.175)
Tl (0.418, 0.750, 0.885)
Ac (0.758, 0.750, 0.462)
Te (0.894, 0.250, 0.773)

## Properties
- total magnetic moment (Bohr magnetons per cell) = 0.00
- uncorrected formation energy (eV per atom) = -1.794
- space group = No. 11

Entry 3:
Below is a relaxed structure of LaPr7Dy2, with properties calculated at the PBE-GGA level.

Unit cell a=5.642 b=7.933 c=9.561 alpha=114.51 beta=72.83 gamma=90.00
Atoms (fractional coordinates):
Pr (0.844, 0.656, 0.311)
Pr (0.369, 0.931, 0.261)
Pr (0.156, 0.344, 0.689)
Dy (0.213, 0.787, 0.573)
Pr (0.631, 0.670, 0.739)
Dy (0.787, 0.213, 0.427)
La (0.000, 0.000, 0.000)
Pr (0.631, 0.069, 0.739)
Pr (0.500, 0.500, 0.000)
Pr (0.369, 0.330, 0.261)

## Properties
- DFT formation energy (eV/atom) = 0.180
- total magnetic moment (Bohr magnetons per cell) = 0.00
- energy relative to the lowest polymorph listed for this composition (eV/atom) = 0.000
- space group = No. 71